[1]
Here is an optimized crystal structure of Sr3HgO4 from the Alexandria database. Energies are from PBE.

a b c (Å): 5.1697 8.4259 7.3300
angles (deg): 90.00 90.00 90.00
Closest atoms and distances in Å follow each position.
Positions (direct):
Sr: 0.2500 0.0006 0.1710  5 O 2.37-2.58
Sr: 0.2500 0.2500 0.6442  5 O 2.38-2.59
Sr: 0.2500 0.4994 0.1710  5 O 2.37-2.58
Sr: 0.7500 0.5006 0.8290  5 O 2.37-2.58
Sr: 0.7500 0.7500 0.3558  5 O 2.38-2.59
Sr: 0.7500 0.9994 0.8290  5 O 2.37-2.58
Hg: 0.2500 0.7500 0.6783  5 O 2.39-2.58
Hg: 0.7500 0.2500 0.3217  5 O 2.39-2.58
O: 0.2500 0.0007 0.8300  1 Hg 2.39, 4 Sr 2.50-2.58
O: 0.2500 0.2500 0.3202  3 Sr 2.37-2.38, 2 Hg 2.58
O: 0.2500 0.4993 0.8300  1 Hg 2.39, 4 Sr 2.50-2.58
O: 0.2500 0.7500 0.3495  1 Hg 2.41, 4 Sr 2.48-2.59
O: 0.7500 0.2500 0.6505  1 Hg 2.41, 4 Sr 2.48-2.59
O: 0.7500 0.5007 0.1700  1 Hg 2.39, 4 Sr 2.50-2.58
O: 0.7500 0.7500 0.6798  3 Sr 2.37-2.38, 2 Hg 2.58
O: 0.7500 0.9993 0.1700  1 Hg 2.39, 4 Sr 2.50-2.58

Output
Crystal system: orthorhombic
Magnetic moment in μB per cell: 0.000
Final energy in eV per atom: -5.236



[2]
Here is an optimized crystal structure of SrHg3O from the Alexandria database. Energies are from PBE.

a b c (Å): 6.4637 6.4637 6.4637
angles (deg): 90.00 90.00 90.00
Closest atoms and distances in Å follow each position.
Positions (direct):
Sr: 0.0000 0.0000 0.0000  6 Hg 3.23
Hg: 0.0000 0.0000 0.5000  2 Sr 3.23
Hg: 0.0000 0.5000 0.0000  2 Sr 3.23
Hg: 0.5000 0.0000 0.0000  2 Sr 3.23
O: 0.5000 0.5000 0.5000  12 Hg 4.57

Output
Crystal system: cubic
Magnetic moment in μB per cell: 0.000
E above lowest polymorph in eV/atom: 0.7142
Final energy in eV per atom: -0.890



[3]
Here is an optimized crystal structure of Sr4Hg2O from the Alexandria database. Energies are from PBE.

a b c (Å): 9.5695 7.6861 13.4616
angles (deg): 90.00 90.00 90.00
Closest atoms and distances in Å follow each position.
Positions (direct):
Sr: 0.0235 0.2500 0.0774  1 O 2.35
Sr: 0.1838 0.0040 0.3434  1 O 2.35
Sr: 0.1838 0.4960 0.3434  1 O 2.35
Sr: 0.1877 0.2500 0.5866  1 O 2.37
Sr: 0.3123 0.7500 0.0866  1 O 2.37
Sr: 0.3162 0.5040 0.8434  1 O 2.35
Sr: 0.3162 0.9960 0.8434  1 O 2.35
Sr: 0.4765 0.7500 0.5774  1 O 2.35
Sr: 0.5235 0.2500 0.4226  1 O 2.35
Sr: 0.6838 0.0040 0.1566  1 O 2.35
Sr: 0.6838 0.4960 0.1566  1 O 2.35
Sr: 0.6877 0.2500 0.9134  1 O 2.37
Sr: 0.8123 0.7500 0.4134  1 O 2.37
Sr: 0.8162 0.5040 0.6566  1 O 2.35
Sr: 0.8162 0.9960 0.6566  1 O 2.35
Sr: 0.9765 0.7500 0.9226  1 O 2.35
Hg: 0.0205 0.2500 0.8169  7 Sr 3.44-3.51
Hg: 0.1199 0.7500 0.5752  6 Sr 3.41-3.73, 1 O 3.81
Hg: 0.3801 0.2500 0.0752  6 Sr 3.41-3.73, 1 O 3.81
Hg: 0.4795 0.7500 0.3169  7 Sr 3.44-3.51
Hg: 0.5205 0.2500 0.6831  7 Sr 3.44-3.51
Hg: 0.6199 0.7500 0.9248  6 Sr 3.41-3.73, 1 O 3.81
Hg: 0.8801 0.2500 0.4248  6 Sr 3.41-3.73, 1 O 3.81
Hg: 0.9795 0.7500 0.1831  7 Sr 3.44-3.51
O: 0.2221 0.7500 0.9224  4 Sr 2.35-2.37
O: 0.2779 0.2500 0.4224  4 Sr 2.35-2.37
O: 0.7221 0.7500 0.5776  4 Sr 2.35-2.37
O: 0.7779 0.2500 0.0776  4 Sr 2.35-2.37

Output
Crystal system: orthorhombic
Magnetic moment in μB per cell: 0.000
E above lowest polymorph in eV/atom: 0.0000
Final energy in eV per atom: -2.792



[4]
Here is an optimized crystal structure of Sr2HgO from the Alexandria database. Energies are from PBE.

a b c (Å): 6.8904 6.8904 6.8904
angles (deg): 116.47 116.47 96.24
Closest atoms and distances in Å follow each position.
Positions (direct):
Sr: 0.0198 0.1250 0.3948  2 O 2.39
Sr: 0.3750 0.9802 0.1052  2 O 2.39
Sr: 0.7302 0.6250 0.6052  2 O 2.39
Sr: 0.8750 0.2698 0.8948  2 O 2.39
Hg: 0.2500 0.7500 0.5000  4 Sr 3.35
Hg: 0.5000 0.5000 0.0000  4 Sr 3.35
O: 0.0000 0.0000 0.0000  4 Sr 2.39
O: 0.7500 0.2500 0.5000  4 Sr 2.39

Output
Crystal system: tetragonal
Magnetic moment in μB per cell: 0.000
E above lowest polymorph in eV/atom: 0.0000
Final energy in eV per atom: -3.634



[5]
Here is an optimized crystal structure of Sr4Hg2O from the Alexandria database. Energies are from PBE.

a b c (Å): 10.3708 10.3708 10.3708
angles (deg): 152.40 152.40 39.44
Closest atoms and distances in Å follow each position.
Positions (direct):
Sr: 0.0000 0.5000 0.5000  2 O 2.47
Sr: 0.1853 0.1853 0.0000  5 Hg 3.31-3.59
Sr: 0.5000 0.0000 0.5000  2 O 2.47
Sr: 0.8147 0.8147 0.0000  5 Hg 3.31-3.59
Hg: 0.3549 0.3549 0.0000  1 O 2.83
Hg: 0.6451 0.6451 0.0000  1 O 2.83
O: 0.5000 0.5000 0.0000  4 Sr 2.47

Output
Crystal system: tetragonal
Magnetic moment in μB per cell: 0.000
E above lowest polymorph in eV/atom: 0.1597
Final energy in eV per atom: -2.632



[6]
Here is an optimized crystal structure of Sr2HgO from the Alexandria database. Energies are from PBE.

a b c (Å): 5.3120 5.3120 5.3120
angles (deg): 60.00 60.00 60.00
Closest atoms and distances in Å follow each position.
Positions (direct):
Sr: 0.2500 0.2500 0.2500  4 O 3.25, 4 Hg 3.25
Sr: 0.7500 0.7500 0.7500  4 O 3.25, 4 Hg 3.25
Hg: 0.0000 0.0000 0.0000  8 Sr 3.25
O: 0.5000 0.5000 0.5000  8 Sr 3.25

Output
Crystal system: cubic
Magnetic moment in μB per cell: 0.000
E above lowest polymorph in eV/atom: 0.8020
Final energy in eV per atom: -2.832



[7]
Here is an optimized crystal structure of Sr2HgO3 from the Alexandria database. Energies are from PBE.

a b c (Å): 6.8960 6.8960 6.6973
angles (deg): 114.19 114.19 66.90
Closest atoms and distances in Å follow each position.
Positions (direct):
Sr: 0.0507 0.2647 0.1195  5 O 2.43-2.62
Sr: 0.2647 0.0507 0.6195  5 O 2.43-2.62
Sr: 0.7353 0.9493 0.3805  5 O 2.43-2.62
Sr: 0.9493 0.7353 0.8805  5 O 2.43-2.62
Hg: 0.4523 0.5477 0.2500  2 O 2.03
Hg: 0.5477 0.4523 0.7500  2 O 2.03
O: 0.0181 0.9819 0.7500  4 Sr 2.43-2.46
O: 0.2539 0.3896 0.9573  1 Hg 2.03
O: 0.3896 0.2539 0.4573  1 Hg 2.03
O: 0.6104 0.7461 0.5427  1 Hg 2.03
O: 0.7461 0.6104 0.0427  1 Hg 2.03
O: 0.9819 0.0181 0.2500  4 Sr 2.43-2.46

Output
Crystal system: monoclinic
Magnetic moment in μB per cell: 0.124
E above lowest polymorph in eV/atom: 0.0000
Final energy in eV per atom: -5.023



[8]
Here is an optimized crystal structure of SrHgO3 from the Alexandria database. Energies are from PBE.

a b c (Å): 4.1808 4.1808 4.1808
angles (deg): 90.00 90.00 90.00
Closest atoms and distances in Å follow each position.
Positions (direct):
Sr: 0.0000 0.0000 0.0000  12 O 2.96
Hg: 0.5000 0.5000 0.5000  6 O 2.09
O: 0.0000 0.5000 0.5000  2 Hg 2.09
O: 0.5000 0.0000 0.5000  2 Hg 2.09
O: 0.5000 0.5000 0.0000  2 Hg 2.09

Output
Crystal system: cubic
Magnetic moment in μB per cell: 0.000
Final energy in eV per atom: -4.301



[9]
Here is an optimized crystal structure of SrHgO from the Alexandria database. Energies are from PBE.

a b c (Å): 7.6660 7.6660 7.6660
angles (deg): 147.67 139.53 52.72
Closest atoms and distances in Å follow each position.
Positions (direct):
Sr: 0.2050 0.2050 0.0000  4 O 2.38-2.66
Sr: 0.7950 0.7950 0.0000  4 O 2.38-2.66
Hg: 0.2527 0.5000 0.7527  2 Hg 2.62-2.68
Hg: 0.7473 0.5000 0.2473  2 Hg 2.62-2.68
O: 0.2812 0.7812 0.5000  4 Sr 2.38-2.66
O: 0.7188 0.2188 0.5000  4 Sr 2.38-2.66

Output
Crystal system: orthorhombic
Magnetic moment in μB per cell: 0.000
Final energy in eV per atom: -3.786



[10]
Here is an optimized crystal structure of Sr3HgO from the Alexandria database. Energies are from PBE.

a b c (Å): 5.2182 5.2182 5.2182
angles (deg): 90.00 90.00 90.00
Closest atoms and distances in Å follow each position.
Positions (direct):
Sr: 0.0000 0.0000 0.5000  2 O 2.61
Sr: 0.0000 0.5000 0.0000  2 O 2.61
Sr: 0.5000 0.0000 0.0000  2 O 2.61
Hg: 0.5000 0.5000 0.5000  12 Sr 3.69
O: 0.0000 0.0000 0.0000  6 Sr 2.61

Output
Crystal system: cubic
Magnetic moment in μB per cell: 0.000
E above lowest polymorph in eV/atom: 0.0084
Final energy in eV per atom: -3.318



[11]
Here is an optimized crystal structure of Sr3HgO from the Alexandria database. Energies are from PBE.

a b c (Å): 8.9050 8.9050 3.9850
angles (deg): 90.00 90.00 110.38
Closest atoms and distances in Å follow each position.
Positions (direct):
Sr: 0.1646 0.4276 0.5000  2 O 2.68
Sr: 0.2011 0.7989 0.0000  2 O 2.64
Sr: 0.4276 0.1646 0.5000  2 O 2.68
Sr: 0.5724 0.8354 0.5000  2 O 2.68
Sr: 0.7989 0.2011 0.0000  2 O 2.64
Sr: 0.8354 0.5724 0.5000  2 O 2.68
Hg: 0.0000 0.0000 0.5000  8 Sr 3.55-3.57
Hg: 0.5000 0.5000 0.0000  8 Sr 3.46
O: 0.0000 0.5000 0.0000  6 Sr 2.64-2.68
O: 0.5000 0.0000 0.0000  6 Sr 2.64-2.68

Output
Crystal system: orthorhombic
Magnetic moment in μB per cell: 0.000
E above lowest polymorph in eV/atom: 0.0951
Final energy in eV per atom: -3.232



Q: magnetic moment of number 4 (Sr2HgO)?
A: 0.000 μB per cell